Entry 1:
First-principles (SCAN) data for Li2YGe2 at its PBEsol-relaxed geometry, as listed in Alexandria via LeMat-Bulk.

Structure (POSCAR):
```
Li2YGe2
1.0
3.987 0.000 0.000
0.000 3.987 0.000
0.000 0.000 11.354
Li Y Ge
4 2 4
Direct
0.000 0.500 0.250
0.000 0.500 0.750
0.500 0.000 0.250
0.500 0.000 0.750
0.000 0.000 0.000
0.500 0.500 0.500
0.000 0.000 0.393
0.000 0.000 0.607
0.500 0.500 0.107
0.500 0.500 0.893
```

Output
As for the total DFT energy (no corrections): -14.80 eV/atom.

---

Entry 2:
First-principles (SCAN) data for CrTcB2Cl at its PBEsol-relaxed geometry, as listed in Alexandria via LeMat-Bulk.

Structure (POSCAR):
```
CrTcB2Cl
1.0
3.828 0.000 0.000
0.000 3.828 0.000
0.000 0.000 4.087
Cr Tc B Cl
1 1 2 1
Direct
0.000 0.000 0.000
0.500 0.500 0.000
0.000 0.500 0.500
0.500 0.000 0.500
0.000 0.000 0.500
```

Output
For the uncorrected formation energy, the calculation gives 2.007 eV per atom.